(1)
VASP calculation (PBE) on HfBiP2O after structural relaxation.

```
HfBiP2O
1.0
5.2019 0.0000 0.0000
0.0000 5.2019 0.0000
0.0000 0.0000 3.9394
P O Bi Hf
2 1 1 1
Direct
0.0000 0.5000 0.0000
0.5000 0.0000 0.0000
0.0000 0.0000 0.5000
0.5000 0.5000 0.5000
0.0000 0.0000 0.0000
```

Results
density of states at the Fermi level = 3.48 states/eV/f.u.
E_form (uncorrected) = -0.694 eV per atom
polymorph energy (0 for the lowest one) = 0 meV per atom
E = -6.62 eV/atom
space-group type = P4/mmm



(2)
VASP calculation (PBE) on K2ReAg after structural relaxation.

```
K2ReAg
1.0
6.2977 0.0159 0.0000
3.3045 5.3611 0.0000
-4.8011 -2.6885 3.0631
Ag K Re
1 2 1
Direct
0.7500 0.2500 0.5000
0.5000 0.5000 0.0000
0.0000 0.0000 0.0000
0.2500 0.7500 0.5000
```

Results
density of states at the Fermi level = 3.70 states/eV/f.u.
energy of formation from the pure elements = 1.42 eV per atom
polymorph energy (0 for the lowest one) = 441 meV per atom
E = -2.95 eV/atom
space-group type = I4/mmm



(3)
VASP calculation (PBE) on ScAlPb2S5 after structural relaxation.

```
ScAlPb2S5
1.0
3.8227 0.0000 0.0000
-1.9113 8.6728 0.0000
0.0000 0.0000 12.7298
Sc S Pb Al
2 10 4 2
Direct
0.2026 0.4052 0.0283
0.7974 0.5948 0.5283
0.0451 0.0902 0.0305
0.5057 0.0113 0.2792
0.3484 0.6968 0.0115
0.6516 0.3032 0.5115
0.4943 0.9887 0.7792
0.7048 0.4096 0.1660
0.2952 0.5904 0.6660
0.6867 0.3734 0.8879
0.3133 0.6266 0.3879
0.9549 0.9098 0.5305
0.1297 0.2595 0.6695
0.8759 0.7518 0.8211
0.8703 0.7405 0.1695
0.1241 0.2482 0.3211
0.5591 0.1182 0.9300
0.4409 0.8818 0.4300
```

Results
density of states at the Fermi level = 0.00 states/eV/f.u.
E_form (uncorrected) = -1.075 eV per atom
E = -5.31 eV/atom
space-group type = Cmc2_1



(4)
VASP calculation (PBE) on CdNiCl after structural relaxation.

```
CdNiCl
1.0
5.9810 0.0006 0.0000
4.3521 4.1026 0.0000
-5.1665 -2.0516 2.2068
Ni Cl Cd
1 1 1
Direct
0.6691 0.6691 0.0000
0.3042 0.3042 0.0000
0.0267 0.0267 0.0000
```

Results
density of states at the Fermi level = 2.81 states/eV/f.u.
E_form (uncorrected) = 0.038 eV per atom
polymorph energy (0 for the lowest one) = 99 meV per atom
E = -2.81 eV/atom
space-group type = I4mm



(5)
VASP calculation (PBE) on PrTmGa2Au5 after structural relaxation.

```
PrTmGa2Au5
1.0
4.7648 0.0000 0.0000
0.0000 4.7648 0.0000
0.0000 0.0000 8.4185
Au Ga Tm Pr
5 2 1 1
Direct
0.0000 0.5000 0.7447
0.0000 0.5000 0.2553
0.5000 0.0000 0.7447
0.5000 0.0000 0.2553
0.5000 0.5000 0.5000
0.5000 0.5000 0.8534
0.5000 0.5000 0.1466
0.0000 0.0000 0.0000
0.0000 0.0000 0.5000
```

Results
density of states at the Fermi level = 4.61 states/eV/f.u.
energy of formation from the pure elements = -0.49 eV per atom
E = -4.01 eV/atom
space-group type = P4/mmm



(6)
VASP calculation (PBE) on NpAu6 after structural relaxation.

```
NpAu6
1.0
6.4377 0.0000 0.0000
0.0000 6.4377 0.0000
0.0000 0.0000 6.4377
Au Np
6 1
Direct
0.5000 0.5000 0.1960
0.5000 0.1960 0.5000
0.5000 0.5000 0.8040
0.1960 0.5000 0.5000
0.5000 0.8040 0.5000
0.8040 0.5000 0.5000
0.0000 0.0000 0.0000
```

Results
density of states at the Fermi level = 12.19 states/eV/f.u.
energy of formation from the pure elements = 0.94 eV per atom
polymorph energy (0 for the lowest one) = 1016 meV per atom
E = -3.72 eV/atom
space-group type = Pm-3m



(7)
VASP calculation (PBE) on Sc6Au2CO after structural relaxation.

```
Sc6Au2CO
1.0
6.2849 0.0000 0.0000
0.0000 6.2847 0.0000
0.0000 0.0000 8.8579
Sc Au O C
12 4 2 2
Direct
0.7477 0.0021 0.5000
0.2477 0.9979 0.0000
0.7523 0.9979 0.0000
0.2522 0.4976 0.5000
0.5000 0.2500 0.7480
0.0000 0.7500 0.7520
0.7478 0.4976 0.5000
0.2523 0.0021 0.5000
0.2478 0.5024 0.0000
0.0000 0.7500 0.2480
0.7522 0.5024 0.0000
0.5000 0.2500 0.2520
0.0000 0.2500 0.7500
0.5000 0.7500 0.7500
0.0000 0.2500 0.2500
0.5000 0.7500 0.2500
0.5000 0.2501 0.0000
0.0000 0.7499 0.5000
0.5000 0.2499 0.5000
0.0000 0.7501 0.0000
```

Results
density of states at the Fermi level = 13.72 states/eV/f.u.
E_form (uncorrected) = -1.125 eV per atom
E = -7.00 eV/atom
space-group type = I4/mmm



(8)
VASP calculation (PBE) on Zr2PtW after structural relaxation.

```
Zr2PtW
1.0
5.4361 0.0171 -0.0018
4.6757 2.7730 -0.0018
1.0673 0.2945 5.0751
Zr W Pt
2 1 1
Direct
0.7726 0.7726 0.6939
0.9773 0.9773 0.0526
0.2261 0.2261 0.2155
0.5240 0.5240 0.5380
```

Results
density of states at the Fermi level = 4.00 states/eV/f.u.
energy of formation from the pure elements = -0.24 eV per atom
E = -9.26 eV/atom
space-group type = Cm



> What is the density of states at the Fermi level in the seventh record?

13.72 states/eV/f.u.